A crystal of MoPt2 relaxed with PBEsol. Source: Alexandria, functional meta-GGA SCAN.

Formation enthalpy at 0 K = -128 kJ/mol of formula units
ΔE to the lowest computed polymorph = 0 meV per atom

Geometry as CIF:
```
data_MoPt2
_cell_length_a 2.738
_cell_length_b 3.937
_cell_length_c 8.248
_cell_angle_alpha 90.00
_cell_angle_beta 90.00
_cell_angle_gamma 90.00
_symmetry_space_group_name_H-M 'I m m m'
_symmetry_Int_Tables_number 71
_symmetry_space_group_name_Hall '-I 2 2'
loop_
_atom_site_label
_atom_site_fract_x
_atom_site_fract_y
_atom_site_fract_z
_atom_site_occupancy
Mo1 0.000 0.000 0.000 1
Pt1 0.000 0.000 0.337 1
```

A crystal of BaCuSeBr2 relaxed with PBEsol. Source: Alexandria, functional meta-GGA SCAN.

Uncorrected formation energy = -0.7187 eV/atom

Geometry as CIF:
```
data_BaCuSeBr2
_cell_length_a 6.049
_cell_length_b 6.049
_cell_length_c 4.305
_cell_angle_alpha 90.00
_cell_angle_beta 90.00
_cell_angle_gamma 90.00
_symmetry_space_group_name_H-M 'P 4/m m m'
_symmetry_Int_Tables_number 123
_symmetry_space_group_name_Hall '-P 4 2'
loop_
_atom_site_label
_atom_site_fract_x
_atom_site_fract_y
_atom_site_fract_z
_atom_site_occupancy
Ba1 0.000 0.000 0.000 1
Cu1 0.500 0.500 0.000 1
Se1 0.500 0.500 0.500 1
Br1 0.000 0.500 0.500 1
```

A crystal of MgBi relaxed with PBEsol. Source: Alexandria, functional meta-GGA SCAN.

Formation enthalpy at 0 K = -24 kJ/mol of formula units

Geometry as CIF:
```
data_MgBi
_cell_length_a 3.517
_cell_length_b 5.847
_cell_length_c 5.168
_cell_angle_alpha 90.00
_cell_angle_beta 90.00
_cell_angle_gamma 90.00
_symmetry_space_group_name_H-M 'P m m n'
_symmetry_Int_Tables_number 59
loop_
_symmetry_equiv_pos_as_xyz
'x,y,z'
'-x,-y,-z'
'-x+1/2,-y+1/2,z'
'x+1/2,y+1/2,-z'
'x+1/2,-y,-z'
'-x+1/2,y,z'
'-x,y+1/2,-z'
'x,-y+1/2,z'
loop_
_atom_site_label
_atom_site_fract_x
_atom_site_fract_y
_atom_site_fract_z
_atom_site_occupancy
Mg1 0.250 0.250 0.155 1
Bi1 0.250 0.750 0.333 1
```

A crystal of SiIBrN2 relaxed with PBEsol. Source: Alexandria, functional meta-GGA SCAN.

Uncorrected formation energy = 1.0532 eV/atom

Geometry as CIF:
```
data_SiIBrN2
_cell_length_a 3.732
_cell_length_b 3.732
_cell_length_c 6.153
_cell_angle_alpha 90.00
_cell_angle_beta 90.00
_cell_angle_gamma 90.00
_symmetry_space_group_name_H-M 'P 4/m m m'
_symmetry_Int_Tables_number 123
_symmetry_space_group_name_Hall '-P 4 2'
loop_
_atom_site_label
_atom_site_fract_x
_atom_site_fract_y
_atom_site_fract_z
_atom_site_occupancy
Si1 0.000 0.000 0.000 1
I1 0.000 0.000 0.500 1
Br1 0.500 0.500 0.500 1
N1 0.000 0.500 0.000 1
```

A crystal of CdHgPb relaxed with PBEsol. Source: Alexandria, functional meta-GGA SCAN.

Formation enthalpy at 0 K = 13 kJ/mol of formula units

Geometry as CIF:
```
data_CdHgPb
_cell_length_a 5.0352
_cell_length_b 5.0352
_cell_length_c 3.3824
_cell_angle_alpha 90.00
_cell_angle_beta 90.00
_cell_angle_gamma 120.00
_symmetry_space_group_name_H-M 'P -6 m 2'
_symmetry_Int_Tables_number 187
_symmetry_space_group_name_Hall 'P -6 2'
loop_
_atom_site_label
_atom_site_fract_x
_atom_site_fract_y
_atom_site_fract_z
_atom_site_occupancy
Cd1 0.0000 0.0000 0.0000 1
Hg1 0.3333 0.6667 0.0000 1
Pb1 0.6667 0.3333 0.5000 1
```

A crystal of PmIn3 relaxed with PBEsol. Source: Alexandria, functional meta-GGA SCAN.

Formation enthalpy at 0 K = -227 kJ/mol of formula units

Geometry as CIF:
```
data_PmIn3
_cell_length_a 4.606
_cell_length_b 4.606
_cell_length_c 4.606
_cell_angle_alpha 90.00
_cell_angle_beta 90.00
_cell_angle_gamma 90.00
_symmetry_space_group_name_H-M 'P m -3 m'
_symmetry_Int_Tables_number 221
_symmetry_space_group_name_Hall '-P 4 2 3'
loop_
_atom_site_label
_atom_site_fract_x
_atom_site_fract_y
_atom_site_fract_z
_atom_site_occupancy
Pm1 0.000 0.000 0.000 1
In1 0.000 0.500 0.500 1
```

A crystal of La2Ge2Ir relaxed with PBEsol. Source: Alexandria, functional meta-GGA SCAN.

Formation enthalpy at 0 K = -430 kJ/mol of formula units

Geometry as CIF:
```
data_La2Ge2Ir
_cell_length_a 6.695
_cell_length_b 6.695
_cell_length_c 4.778
_cell_angle_alpha 90.00
_cell_angle_beta 90.00
_cell_angle_gamma 90.00
_symmetry_space_group_name_H-M 'P 4/m b m'
_symmetry_Int_Tables_number 127
_symmetry_space_group_name_Hall '-P 4 2ab'
loop_
_atom_site_label
_atom_site_fract_x
_atom_site_fract_y
_atom_site_fract_z
_atom_site_occupancy
La1 0.175 0.325 0.000 1
Ge1 0.135 0.635 0.500 1
Ir1 0.000 0.000 0.500 1
```

A crystal of Sc2WBr relaxed with PBEsol. Source: Alexandria, functional meta-GGA SCAN.

Uncorrected formation energy = 0.4140 eV/atom
ΔE to the lowest computed polymorph = 623 meV per atom

Geometry as CIF:
```
data_Sc2WBr
_cell_length_a 3.314
_cell_length_b 5.308
_cell_length_c 8.753
_cell_angle_alpha 90.00
_cell_angle_beta 90.00
_cell_angle_gamma 90.00
_symmetry_space_group_name_H-M 'I m m m'
_symmetry_Int_Tables_number 71
_symmetry_space_group_name_Hall '-I 2 2'
loop_
_atom_site_label
_atom_site_fract_x
_atom_site_fract_y
_atom_site_fract_z
_atom_site_occupancy
Sc1 0.000 0.000 0.247 1
W1 0.000 0.500 0.000 1
Br1 0.000 0.500 0.500 1
```

no.,total moment (μB per cell)
1,0.000
2,0.000
3,0.003
4,0.000
5,0.000
6,0.000
7,0.000
8,0.007